Below is a geometry-optimized SrNiCl2 structure, with properties calculated at the PBE level.

```
SrNiCl2
1.0
-1.9671 2.7899 3.8163
1.9671 -2.7899 3.8163
1.9671 2.7899 -3.8163
Sr Ni Cl
1 1 2
direct
0.0000 0.0000 0.0000 Sr
0.5000 0.5000 0.0000 Ni
0.3023 0.8023 0.5000 Cl
0.6977 0.1977 0.5000 Cl
```

Calculated values
Its polymorph energy (0 for the lowest one) is 243 meV per atom.

***

Below is a geometry-optimized Rb3Er3GeO8 structure, with properties calculated at the PBE level.

```
Rb3Er3GeO8
1.0
3.3480 1.9329 6.6091
-3.3480 1.9329 6.6091
0.0000 -3.8659 6.6091
Rb Er Ge O
3 3 1 8
direct
0.0000 0.5000 0.5000 Rb
0.5000 0.0000 0.5000 Rb
0.5000 0.5000 0.0000 Rb
0.0000 0.0000 0.5000 Er
0.0000 0.5000 0.0000 Er
0.5000 0.0000 0.0000 Er
0.5000 0.5000 0.5000 Ge
0.2229 0.2229 0.2229 O
0.2566 0.7020 0.7020 O
0.2980 0.2980 0.7434 O
0.2980 0.7434 0.2980 O
0.7020 0.2566 0.7020 O
0.7020 0.7020 0.2566 O
0.7434 0.2980 0.2980 O
0.7771 0.7771 0.7771 O
```

Calculated values
Its final energy is -98.219 eV per cell.